1.
# Sr2Al3Ga2

A relaxed Sr2Al3Ga2 crystal (PBE, Alexandria).

Output
DFT formation energy = -192 kJ/mol of formula units
SG = No. 12

Cell: 6.4239 6.4239 7.0760 Å, 102.71 102.71 38.78°
Closest atoms and distances in Å follow each position.
Element x y z (fractional)
Sr  0.1673  0.1673  0.2441  4 Ga 3.30-3.60, 5 Al 3.35-3.54
Sr  0.8327  0.8327  0.7559  4 Ga 3.30-3.60, 5 Al 3.35-3.54
Al  0.4337  0.4337  0.1200  2 Al 2.60-2.62, 2 Ga 2.64
Al  0.5000  0.5000  0.5000  2 Al 2.62, 4 Ga 2.78
Al  0.5663  0.5663  0.8800  2 Al 2.60-2.62, 2 Ga 2.64
Ga  0.1203  0.1203  0.7002  4 Al 2.64-2.78
Ga  0.8797  0.8797  0.2998  4 Al 2.64-2.78

=====

2.
# Zn2Cu3Rh

A relaxed Zn2Cu3Rh crystal (PBE, Alexandria).

Output
DFT formation energy = -77 kJ/mol of formula units
SG = No. 62

Cell: 7.4827 3.6724 11.4208 Å, 90.00 90.00 90.00°
Closest atoms and distances in Å follow each position.
Element x y z (fractional)
Zn  0.0006  0.2500  0.2464  2 Rh 2.61, 8 Cu 2.61-2.72, 2 Zn 2.71-2.76
Zn  0.2502  0.2500  0.4247  7 Cu 2.59-2.73, 3 Rh 2.61-2.69, 2 Zn 2.71-2.76
Zn  0.2498  0.7500  0.9247  7 Cu 2.59-2.73, 3 Rh 2.61-2.69, 2 Zn 2.71-2.76
Zn  0.4994  0.7500  0.7464  2 Rh 2.61, 8 Cu 2.61-2.72, 2 Zn 2.71-2.76
Zn  0.5006  0.2500  0.2536  2 Rh 2.61, 8 Cu 2.61-2.72, 2 Zn 2.71-2.76
Zn  0.7502  0.2500  0.0753  7 Cu 2.59-2.73, 3 Rh 2.61-2.69, 2 Zn 2.71-2.76
Zn  0.7498  0.7500  0.5753  7 Cu 2.59-2.73, 3 Rh 2.61-2.69, 2 Zn 2.71-2.76
Zn  0.9994  0.7500  0.7536  2 Rh 2.61, 8 Cu 2.61-2.72, 2 Zn 2.71-2.76
Cu  0.0014  0.2500  0.9161  7 Cu 2.61-2.67, 5 Zn 2.61-2.62
Cu  0.2458  0.2500  0.0842  4 Zn 2.59-2.72, 5 Cu 2.61-2.65, 3 Rh 2.67-2.75
Cu  0.2483  0.2500  0.7476  2 Rh 2.60-2.61, 6 Zn 2.62-2.73, 4 Cu 2.62-2.67
Cu  0.2517  0.7500  0.2476  2 Rh 2.60-2.61, 6 Zn 2.62-2.73, 4 Cu 2.62-2.67
Cu  0.2542  0.7500  0.5842  4 Zn 2.59-2.72, 5 Cu 2.61-2.65, 3 Rh 2.67-2.75
Cu  0.4986  0.7500  0.4161  7 Cu 2.61-2.67, 5 Zn 2.61-2.62
Cu  0.5014  0.2500  0.5839  7 Cu 2.61-2.67, 5 Zn 2.61-2.62
Cu  0.7458  0.2500  0.4158  4 Zn 2.59-2.72, 5 Cu 2.61-2.65, 3 Rh 2.67-2.75
Cu  0.7483  0.2500  0.7524  2 Rh 2.60-2.61, 6 Zn 2.62-2.73, 4 Cu 2.62-2.67
Cu  0.7517  0.7500  0.2524  2 Rh 2.60-2.61, 6 Zn 2.62-2.73, 4 Cu 2.62-2.67
Cu  0.7542  0.7500  0.9158  4 Zn 2.59-2.72, 5 Cu 2.61-2.65, 3 Rh 2.67-2.75
Cu  0.9986  0.7500  0.0839  7 Cu 2.61-2.67, 5 Zn 2.61-2.62
Rh  0.0041  0.7500  0.4083  5 Cu 2.60-2.75, 5 Zn 2.61-2.69, 2 Rh 2.79
Rh  0.4959  0.2500  0.9083  5 Cu 2.60-2.75, 5 Zn 2.61-2.69, 2 Rh 2.79
Rh  0.5041  0.7500  0.0917  5 Cu 2.60-2.75, 5 Zn 2.61-2.69, 2 Rh 2.79
Rh  0.9959  0.2500  0.5917  5 Cu 2.60-2.75, 5 Zn 2.61-2.69, 2 Rh 2.79

=====

3.
# BeCoMoOs

A relaxed BeCoMoOs crystal (PBE, Alexandria).

Output
DFT formation energy = 2 kJ/mol of formula units
SG = No. 216

Cell: 4.1599 4.1599 4.1599 Å, 60.00 60.00 60.00°
Closest atoms and distances in Å follow each position.
Element x y z (fractional)
Be  0.0000  0.0000  0.0000  4 Co 2.55, 4 Os 2.55
Co  0.7500  0.7500  0.7500  4 Be 2.55, 4 Mo 2.55
Mo  0.5000  0.5000  0.5000  4 Co 2.55, 4 Os 2.55
Os  0.2500  0.2500  0.2500  4 Mo 2.55, 4 Be 2.55

=====

4.
# PuCo2Si2

A relaxed PuCo2Si2 crystal (PBE, Alexandria).

Output
SG = No. 70
Formation energy from raw total energies = -2.66 eV/f.u.

Cell: 7.7371 6.6289 5.4829 Å, 78.78 57.18 44.04°
Closest atoms and distances in Å follow each position.
Element x y z (fractional)
Pu  0.1250  0.1250  0.1250  6 Si 2.96-3.23, 8 Co 2.97-3.23
Pu  0.8750  0.8750  0.8750  6 Si 2.96-3.23, 8 Co 2.97-3.23
Co  0.2652  0.2652  0.4848  4 Si 2.23-2.27
Co  0.4848  0.4848  0.2652  4 Si 2.23-2.27
Co  0.5152  0.5152  0.7348  4 Si 2.23-2.27
Co  0.7348  0.7348  0.5152  4 Si 2.23-2.27
Si  0.1835  0.5665  0.1835  4 Co 2.23-2.27
Si  0.4335  0.8165  0.4335  4 Co 2.23-2.27
Si  0.5665  0.1835  0.5665  4 Co 2.23-2.27
Si  0.8165  0.4335  0.8165  4 Co 2.23-2.27

=====

5.
# Er2ZnGa9

A relaxed Er2ZnGa9 crystal (PBE, Alexandria).

Output
DFT formation energy = -366 kJ/mol of formula units
SG = No. 123

Cell: 4.2530 4.2530 12.4318 Å, 90.00 90.00 90.00°
Closest atoms and distances in Å follow each position.
Element x y z (fractional)
Er  0.0000  0.0000  0.1717  12 Ga 3.01-3.06
Er  0.0000  0.0000  0.8283  12 Ga 3.01-3.06
Zn  0.0000  0.0000  0.5000  12 Ga 2.84-3.01
Ga  0.0000  0.5000  0.0000  8 Ga 2.95-3.01, 4 Er 3.01
Ga  0.0000  0.5000  0.3486  2 Zn 2.84, 8 Ga 2.84-3.12, 2 Er 3.06
Ga  0.0000  0.5000  0.6514  2 Zn 2.84, 8 Ga 2.84-3.12, 2 Er 3.06
Ga  0.5000  0.0000  0.0000  8 Ga 2.95-3.01, 4 Er 3.01
Ga  0.5000  0.0000  0.3486  2 Zn 2.84, 8 Ga 2.84-3.12, 2 Er 3.06
Ga  0.5000  0.0000  0.6514  2 Zn 2.84, 8 Ga 2.84-3.12, 2 Er 3.06
Ga  0.5000  0.5000  0.1646  8 Ga 2.95-3.12, 4 Er 3.01
Ga  0.5000  0.5000  0.5000  8 Ga 2.84, 4 Zn 3.01
Ga  0.5000  0.5000  0.8354  8 Ga 2.95-3.12, 4 Er 3.01

=====

6.
# KSc2Pt

A relaxed KSc2Pt crystal (PBE, Alexandria).

Output
DFT formation energy = 68 kJ/mol of formula units
SG = No. 123
Energy above the lowest structure with this stoichiometry = 0.548 eV per atom

Cell: 4.7875 4.7875 3.8958 Å, 90.00 90.00 90.00°
Closest atoms and distances in Å follow each position.
Element x y z (fractional)
K  0.0000  0.0000  0.0000  8 Sc 3.09, 4 Pt 3.39
Sc  0.0000  0.5000  0.5000  4 K 3.09, 4 Pt 3.09, 4 Sc 3.39
Sc  0.5000  0.0000  0.5000  4 K 3.09, 4 Pt 3.09, 4 Sc 3.39
Pt  0.5000  0.5000  0.0000  8 Sc 3.09, 4 K 3.39

=====

7.
# AgGeAu2

A relaxed AgGeAu2 crystal (PBE, Alexandria).

Output
DFT formation energy = 10 kJ/mol of formula units
SG = No. 123

Cell: 3.5674 3.5674 5.7611 Å, 90.00 90.00 90.00°
Closest atoms and distances in Å follow each position.
Element x y z (fractional)
Ag  0.0000  0.0000  0.0000  2 Ge 2.88, 8 Au 2.91
Ge  0.0000  0.0000  0.5000  2 Ag 2.88, 8 Au 2.90
Au  0.5000  0.5000  0.2503  2 Au 2.88, 4 Ge 2.90, 4 Ag 2.91
Au  0.5000  0.5000  0.7497  2 Au 2.88, 4 Ge 2.90, 4 Ag 2.91

=====

8.
# CeCrPt4

A relaxed CeCrPt4 crystal (PBE, Alexandria).

Output
DFT formation energy = -359 kJ/mol of formula units
SG = No. 216

Cell: 5.3714 5.3714 5.3714 Å, 60.00 60.00 60.00°
Closest atoms and distances in Å follow each position.
Element x y z (fractional)
Ce  0.0000  0.0000  0.0000  12 Pt 3.15, 4 Cr 3.29
Cr  0.7500  0.7500  0.7500  12 Pt 3.15, 4 Ce 3.29
Pt  0.3756  0.3756  0.3756  6 Pt 2.67-2.70
Pt  0.3756  0.3756  0.8733  6 Pt 2.67-2.70
Pt  0.3756  0.8733  0.3756  6 Pt 2.67-2.70
Pt  0.8733  0.3756  0.3756  6 Pt 2.67-2.70